Entry 1:
La6Ge2SeBr3 after structural relaxation, computed with PBE-GGA.

ΔE_f (raw) = -1391 meV per atom
crystal system = monoclinic
total DFT energy (no corrections) = -127.978 eV for the cell shown
volume = 30.25 Å³ per atom

abc: 7.5908 13.1645 7.6934
angles: 90.00 109.22 90.00
With the nearest neighbours (Å) after each atom.
Space group C2/m (No. 12)
Asymmetric unit:
La 0.2370 0.0000 0.2213 (multiplicity 4)  2 Ge 2.99, 1 Se 3.02, 3 Br 3.22-3.27
La 0.2420 0.3315 0.2214 (multiplicity 8)  2 Ge 2.99, 1 Se 3.02, 3 Br 3.21-3.25
Ge 0.0000 0.1664 0.0000 (multiplicity 4)  6 La 2.99
Se 0.0000 0.5000 0.0000 (multiplicity 2)  6 La 3.02
Br 0.0000 0.0000 0.5000 (multiplicity 2)  6 La 3.22-3.25
Br 0.0000 0.3318 0.5000 (multiplicity 4)  6 La 3.21-3.27

Entry 2:
La4GeSe2Br after structural relaxation, computed with PBE-GGA.

ΔE_f (raw) = -1605 meV per atom
crystal system = monoclinic
total DFT energy (no corrections) = -45.807 eV for the cell shown
volume = 29.36 Å³ per atom

abc: 7.5234 4.3580 7.5862
angles: 90.00 109.20 90.00
With the nearest neighbours (Å) after each atom.
Space group P2/m (No. 10)
Asymmetric unit:
La 0.2396 0.0000 0.2312 (multiplicity 2)  3 Se 3.00-3.13, 1 Ge 3.03, 2 Br 3.18
La 0.2506 0.5000 0.7626 (multiplicity 2)  3 Se 3.01-3.13, 2 Ge 3.05, 1 Br 3.15
Ge 0.5000 0.0000 0.0000 (multiplicity 1)  6 La 3.03-3.05
Se 0.0000 0.0000 0.5000 (multiplicity 1)  6 La 3.13
Se 0.0000 0.5000 0.0000 (multiplicity 1)  6 La 3.00-3.01
Br 0.5000 0.5000 0.5000 (multiplicity 1)  6 La 3.15-3.18

Entry 3:
La8GeSe3Br4 after structural relaxation, computed with PBE-GGA.

ΔE_f (raw) = -1556 meV per atom
crystal system = trigonal
total DFT energy (no corrections) = -258.254 eV for the cell shown
volume = 29.25 Å³ per atom

abc: 8.7099 8.7099 21.3698
angles: 90.00 90.00 120.00
With the nearest neighbours (Å) after each atom.
Space group R-3m (No. 166, hexagonal axes)
Asymmetric unit:
La 0.0000 0.0000 0.2427 (multiplicity 6)  3 Se 2.99, 3 Br 3.17
La 0.0026 0.5013 0.2423 (multiplicity 18)  1 Ge 2.97, 2 Se 3.00, 3 Br 3.17-3.20
Ge 0.0000 0.0000 0.5000 (multiplicity 3)  6 La 2.97
Se 0.0000 0.5000 0.5000 (multiplicity 9)  6 La 2.99-3.00
Br 0.0000 0.0000 0.0000 (multiplicity 3)  6 La 3.20
Br 0.0000 0.5000 0.0000 (multiplicity 9)  6 La 3.17

Entry 4:
La6GeSe3Br2 after structural relaxation, computed with PBE-GGA.

ΔE_f (raw) = -1614 meV per atom
crystal system = monoclinic
total DFT energy (no corrections) = -134.706 eV for the cell shown
volume = 29.17 Å³ per atom

abc: 18.9471 4.3632 8.6972
angles: 90.00 103.18 90.00
With the nearest neighbours (Å) after each atom.
Space group C2/m (No. 12)
Asymmetric unit:
La 0.0036 0.0000 0.2570 (multiplicity 4)  3 Se 3.04-3.11, 2 Ge 3.05, 1 Br 3.17
La 0.1605 0.5000 0.0932 (multiplicity 4)  3 Se 2.96-2.98, 3 Br 3.16-3.17
La 0.1636 0.5000 0.5653 (multiplicity 4)  3 Se 3.00-3.11, 1 Ge 3.02, 2 Br 3.18
Ge 0.0000 0.5000 0.5000 (multiplicity 2)  6 La 3.02-3.05
Se 0.0000 0.5000 0.0000 (multiplicity 2)  6 La 2.96-3.11
Se 0.1681 0.0000 0.3307 (multiplicity 4)  6 La 2.98-3.11
Br 0.1681 0.0000 0.8329 (multiplicity 4)  6 La 3.16-3.18

Entry 5:
La8Si3GeBr4 after structural relaxation, computed with PBE-GGA.

ΔE_f (raw) = -1172 meV per atom
crystal system = trigonal
total DFT energy (no corrections) = -257.246 eV for the cell shown
volume = 30.81 Å³ per atom

abc: 8.7872 8.7872 22.1146
angles: 90.00 90.00 120.00
With the nearest neighbours (Å) after each atom.
Space group R-3m (No. 166, hexagonal axes)
Asymmetric unit:
La 0.0000 0.0000 0.2386 (multiplicity 6)  3 Si 2.99, 3 Br 3.29
La 0.0023 0.5012 0.7611 (multiplicity 18)  2 Si 2.99, 1 Ge 3.01, 3 Br 3.27-3.29
Si 0.0000 0.5000 0.5000 (multiplicity 9)  6 La 2.99
Ge 0.0000 0.0000 0.5000 (multiplicity 3)  6 La 3.01
Br 0.0000 0.0000 0.0000 (multiplicity 3)  6 La 3.27
Br 0.0000 0.5000 0.0000 (multiplicity 9)  6 La 3.29

Entry 6:
La8SiGe3Br4 after structural relaxation, computed with PBE-GGA.

ΔE_f (raw) = -1213 meV per atom
crystal system = trigonal
total DFT energy (no corrections) = -254.401 eV for the cell shown
volume = 30.84 Å³ per atom

abc: 8.8391 8.8391 21.8792
angles: 90.00 90.00 120.00
With the nearest neighbours (Å) after each atom.
Space group R-3m (No. 166, hexagonal axes)
Asymmetric unit:
La 0.0000 0.0000 0.2401 (multiplicity 6)  3 Ge 3.02, 3 Br 3.27
La 0.0026 0.5013 0.2398 (multiplicity 18)  1 Si 2.99, 2 Ge 3.02, 3 Br 3.26-3.29
Si 0.0000 0.0000 0.5000 (multiplicity 3)  6 La 2.99
Ge 0.0000 0.5000 0.5000 (multiplicity 9)  6 La 3.02
Br 0.0000 0.0000 0.0000 (multiplicity 3)  6 La 3.29
Br 0.0000 0.5000 0.0000 (multiplicity 9)  6 La 3.26-3.27

Question: Which value of volume does entry 4 give?
Answer: 29.17 Å³ per atom

Question: The highest volume belongs to which entry?
Answer: La8SiGe3Br4

Copy entry 4 word for word.
La6GeSe3Br2 after structural relaxation, computed with PBE-GGA.

ΔE_f (raw) = -1614 meV per atom
crystal system = monoclinic
total DFT energy (no corrections) = -134.706 eV for the cell shown
volume = 29.17 Å³ per atom

abc: 18.9471 4.3632 8.6972
angles: 90.00 103.18 90.00
With the nearest neighbours (Å) after each atom.
Space group C2/m (No. 12)
Asymmetric unit:
La 0.0036 0.0000 0.2570 (multiplicity 4)  3 Se 3.04-3.11, 2 Ge 3.05, 1 Br 3.17
La 0.1605 0.5000 0.0932 (multiplicity 4)  3 Se 2.96-2.98, 3 Br 3.16-3.17
La 0.1636 0.5000 0.5653 (multiplicity 4)  3 Se 3.00-3.11, 1 Ge 3.02, 2 Br 3.18
Ge 0.0000 0.5000 0.5000 (multiplicity 2)  6 La 3.02-3.05
Se 0.0000 0.5000 0.0000 (multiplicity 2)  6 La 2.96-3.11
Se 0.1681 0.0000 0.3307 (multiplicity 4)  6 La 2.98-3.11
Br 0.1681 0.0000 0.8329 (multiplicity 4)  6 La 3.16-3.18